{
  "formula": "MnCr2Au",
  "functional": "PBE-GGA",
  "state": "relaxed",
  "formation_enthalpy_0k_ev_per_atom": 0.144,
  "energy_ev_per_atom": -7.780,
  "total_magnetization_mub_per_fu": 4.15,
  "volume_a3_per_atom": 14.37,
  "space_group": "P4mm (99)",
  "e_above_lowest_polymorph_mev_per_atom": 0.0,
  "lattice": [[-0.6935, 0.6715, -2.8219], [-1.9614, -2.2462, -0.0525], [-4.6293, 3.9936, 2.0881]],
  "species": ["Cr", "Cr", "Au", "Mn"],
  "fractional_positions": [[0.0000, 0.0000, 0.0378], [0.5000, 0.5000, 0.2453], [0.5000, 0.5000, 0.7475], [0.0000, 0.0000, 0.4694]]
}

***

{
  "formula": "Mn2CrAu",
  "functional": "PBE-GGA",
  "state": "relaxed",
  "formation_enthalpy_0k_ev_per_atom": 0.501,
  "energy_ev_per_atom": -7.309,
  "total_magnetization_mub_per_fu": 0.01,
  "volume_a3_per_atom": 12.87,
  "space_group": "Fm-3m (225)",
  "lattice": [[0.0000, 2.9529, 2.9529], [2.9529, 0.0000, 2.9529], [2.9529, 2.9529, 0.0000]],
  "species": ["Cr", "Au", "Mn", "Mn"],
  "fractional_positions": [[0.0000, 0.0000, 0.0000], [0.5000, 0.5000, 0.5000], [0.7500, 0.7500, 0.7500], [0.2500, 0.2500, 0.2500]]
}

***

{
  "formula": "MnCr2Au",
  "functional": "PBE-GGA",
  "state": "relaxed",
  "formation_enthalpy_0k_ev_per_atom": 0.309,
  "energy_ev_per_atom": -7.614,
  "total_magnetization_mub_per_fu": 0.54,
  "volume_a3_per_atom": 13.45,
  "space_group": "I4/mmm (139)",
  "e_above_lowest_polymorph_mev_per_atom": 165.9,
  "lattice": [[4.6541, 0.0411, 0.0000], [1.5932, 4.3731, 0.0000], [-3.1237, -2.2071, 2.6522]],
  "species": ["Cr", "Cr", "Au", "Mn"],
  "fractional_positions": [[0.5000, 0.5000, 0.0000], [0.0000, 0.0000, 0.0000], [0.7500, 0.2500, 0.5000], [0.2500, 0.7500, 0.5000]]
}

***

{
  "formula": "Mn2Cr2Au",
  "functional": "PBE-GGA",
  "state": "relaxed",
  "formation_enthalpy_0k_ev_per_atom": 0.263,
  "energy_ev_per_atom": -7.910,
  "total_magnetization_mub_per_fu": 0.00,
  "volume_a3_per_atom": 12.65,
  "space_group": "P4/mbm (127)",
  "lattice": [[6.8427, 0.0000, 0.0000], [0.0000, 6.8427, 0.0000], [0.0000, 0.0000, 2.7018]],
  "species": ["Mn", "Mn", "Mn", "Mn", "Au", "Au", "Cr", "Cr", "Cr", "Cr"],
  "fractional_positions": [[0.6351, 0.1351, 0.0000], [0.3649, 0.8649, 0.0000], [0.8649, 0.6351, 0.0000], [0.1351, 0.3649, 0.0000], [0.0000, 0.0000, 0.0000], [0.5000, 0.5000, 0.0000], [0.3439, 0.1561, 0.5000], [0.8439, 0.3439, 0.5000], [0.6561, 0.8439, 0.5000], [0.1561, 0.6561, 0.5000]]
}

***

{
  "formula": "MnCrAu",
  "functional": "PBE-GGA",
  "state": "relaxed",
  "formation_enthalpy_0k_ev_per_atom": 0.465,
  "energy_ev_per_atom": -6.892,
  "total_magnetization_mub_per_fu": 0.19,
  "volume_a3_per_atom": 18.24,
  "space_group": "F-43m (216)",
  "e_above_lowest_polymorph_mev_per_atom": 405.8,
  "lattice": [[-1.2141, 3.8380, -1.3989], [-1.1733, 0.5133, -4.0647], [-4.0882, 0.7218, -0.9629]],
  "species": ["Mn", "Au", "Cr"],
  "fractional_positions": [[0.0000, 0.0000, 0.0000], [0.5000, 0.5000, 0.5000], [0.7500, 0.7500, 0.7500]]
}

***

{
  "formula": "Mn2CrAu",
  "functional": "PBE-GGA",
  "state": "relaxed",
  "formation_enthalpy_0k_ev_per_atom": 0.208,
  "energy_ev_per_atom": -7.602,
  "total_magnetization_mub_per_fu": 3.73,
  "volume_a3_per_atom": 15.20,
  "space_group": "F-43m (216)",
  "lattice": [[4.4136, 0.0000, 0.0000], [2.2068, 3.8223, 0.0000], [2.2068, 1.2741, 3.6037]],
  "species": ["Cr", "Au", "Mn", "Mn"],
  "fractional_positions": [[0.7500, 0.7500, 0.7500], [0.5000, 0.5000, 0.5000], [0.2500, 0.2500, 0.2500], [0.0000, 0.0000, 0.0000]]
}